#i
## HoSc5 (GGA-PBE)

Data for a relaxed HoSc5 crystal.

Results
* DOS at the Fermi energy: 1.856 states/eV per atom

Cell: 11.9739 3.3649 7.8110 Å, 90.00 102.88 90.00°
With the nearest neighbours (Å) after each atom.
Space group Cm (No. 8)
Symmetry-distinct sites (fractional):
Ho: 0.0000 0.0000 0.0000 [2 per cell]  10 Sc 3.25-3.42, 2 Ho 3.36
Sc: 0.0532 0.0000 0.6047 [2 per cell]  11 Sc 3.22-3.36, 1 Ho 3.29
Sc: 0.1663 0.5000 0.3357 [2 per cell]  10 Sc 3.20-3.36, 2 Ho 3.37
Sc: 0.2223 0.5000 0.9358 [2 per cell]  9 Sc 3.22-3.39, 3 Ho 3.25-3.28
Sc: 0.3291 0.0000 0.6583 [2 per cell]  10 Sc 3.16-3.36, 2 Ho 3.42
Sc: 0.3832 0.0000 0.2801 [2 per cell]  10 Sc 3.16-3.39, 2 Ho 3.31


#ii
## HoSc5 (GGA-PBE)

Data for a relaxed HoSc5 crystal.

Results
* DOS at the Fermi energy: 1.725 states/eV per atom

Cell: 5.7235 9.8815 5.7293 Å, 90.00 109.61 90.00°
With the nearest neighbours (Å) after each atom.
Space group P2_1/m (No. 11)
Symmetry-distinct sites (fractional):
Ho: 0.2494 0.2500 0.9998 [2 per cell]  12 Sc 3.29-3.31
Sc: 0.2498 0.0813 0.4999 [4 per cell]  10 Sc 3.27-3.33, 2 Ho 3.31
Sc: 0.2503 0.5831 0.0002 [4 per cell]  3 Ho 3.29-3.30, 9 Sc 3.29-3.31
Sc: 0.2504 0.7500 0.5004 [2 per cell]  10 Sc 3.27-3.31, 2 Ho 3.30


The structure shown above that is least stable: #ii.